Here is crystalline Ac3MnTe6 at its relaxed geometry from Alexandria. Energies are from GGA-PBE.

abc: 10.101 10.101 7.822
angles: 90.00 90.00 100.66
Atoms (fractional coordinates):
Ac: 0.105 0.895 0.500
Ac: 0.221 0.419 0.592
Ac: 0.419 0.221 0.092
Ac: 0.581 0.779 0.592
Ac: 0.779 0.581 0.092
Ac: 0.895 0.105 0.000
Mn: 0.301 0.699 0.136
Mn: 0.699 0.301 0.636
Te: 0.075 0.592 0.295
Te: 0.131 0.191 0.298
Te: 0.191 0.131 0.798
Te: 0.279 0.721 0.794
Te: 0.408 0.925 0.295
Te: 0.459 0.541 0.281
Te: 0.541 0.459 0.781
Te: 0.592 0.075 0.795
Te: 0.721 0.279 0.294
Te: 0.809 0.869 0.298
Te: 0.869 0.809 0.798
Te: 0.925 0.408 0.795

Output
The uncorrected formation energy comes out at -113 kJ per mole of atoms. The space group is Cmc2_1 (36). Its density of states at the Fermi level is 0.474 states/eV per atom.